Record 1
Below is a relaxed structure of As2C, with properties calculated at the PBE level.

```
12
Lattice="6.571 0.000 0.000 -3.285 5.691 0.000 0.000 0.000 7.581" Properties=species:S:1:pos:R:3 pbc="T T T"
As 0.000 0.000 3.790
As 0.000 2.054 5.686
C 0.000 3.794 4.691
C 3.286 1.897 0.901
C 3.286 1.897 2.890
As 4.792 1.027 1.895
As 1.507 4.664 5.686
As 3.285 3.637 1.895
As -1.507 4.664 5.686
As 1.779 1.027 1.895
As 0.000 0.000 0.000
C 0.000 3.794 6.680
```

Results
Density, g/cm3: 3.8
ΔE_f, meV/atom: 1454
D(E_F), states/eV per cell: 7.9
ΔE to the lowest computed polymorph, meV/atom: 957.2



Record 2
Below is a relaxed structure of AsC, with properties calculated at the PBE level.

```
12
Lattice="6.984 0.000 0.000 -3.492 6.049 0.000 0.000 0.000 4.142" Properties=species:S:1:pos:R:3 pbc="T T T"
As 2.496 3.778 1.036
As 1.027 5.776 3.107
C 4.458 0.337 1.036
C -0.966 5.712 3.107
C -0.972 2.357 3.107
As -2.024 4.050 3.107
C 4.464 3.692 1.036
C 1.555 2.020 1.036
As 5.516 1.998 1.036
As 2.465 0.273 1.036
As 0.996 2.271 3.107
C 1.937 4.029 3.107
```

Results
Density, g/cm3: 4.9
ΔE_f, meV/atom: 1274
D(E_F), states/eV per cell: 2.5
ΔE to the lowest computed polymorph, meV/atom: 733.5



Record 3
Below is a relaxed structure of AsC, with properties calculated at the PBE level.

```
8
Lattice="-0.274 0.510 -2.941 1.274 -2.770 -0.599 -13.340 -6.799 3.069" Properties=species:S:1:pos:R:3 pbc="T T T"
As -5.236 -2.099 -1.431
C -5.694 -3.991 -1.715
As -1.071 -2.176 -0.275
As -11.268 -6.883 -0.195
C -6.645 -5.068 1.244
As -8.378 -4.190 1.559
C -13.001 -6.005 0.119
C -0.613 -0.284 0.009
```

Results
Density, g/cm3: 4.1
ΔE_f, meV/atom: 699
D(E_F), states/eV per cell: 1.0
ΔE to the lowest computed polymorph, meV/atom: 158.8



Record 4
Below is a relaxed structure of As2C, with properties calculated at the PBE level.

```
6
Lattice="3.055 0.007 -0.002 0.055 5.376 -0.008 0.258 0.108 6.723" Properties=species:S:1:pos:R:3 pbc="T T T"
As 0.658 4.363 3.986
As 2.242 1.678 4.051
As 0.897 2.459 1.093
C 2.178 5.292 3.056
As 1.957 0.035 1.083
C 0.737 2.556 3.075
```

Results
Density, g/cm3: 4.9
ΔE_f, meV/atom: 593
D(E_F), states/eV per cell: 0.9
ΔE to the lowest computed polymorph, meV/atom: 95.7



Record 5
Below is a relaxed structure of AsC, with properties calculated at the PBE level.

```
2
Lattice="-0.913 -0.601 -2.659 2.076 -1.971 -0.267 -1.767 -2.005 1.060" Properties=species:S:1:pos:R:3 pbc="T T T"
As 0.000 0.000 0.000
C -0.302 -2.288 -0.933
```

Results
Density, g/cm3: 6.1
ΔE_f, meV/atom: 2310
D(E_F), states/eV per cell: 1.4
ΔE to the lowest computed polymorph, meV/atom: 1769.8



Record 6
Below is a relaxed structure of AsC, with properties calculated at the PBE level.

```
12
Lattice="5.803 0.000 0.000 0.000 5.803 0.000 0.000 0.000 5.803" Properties=species:S:1:pos:R:3 pbc="T T T"
C 4.353 2.902 0.000
As 2.902 1.451 0.000
As 0.000 2.902 1.451
C 1.451 2.902 0.000
As 1.451 0.000 2.902
As 0.000 2.902 4.353
C 2.902 0.000 1.451
As 2.902 4.353 0.000
C 2.902 0.000 4.353
C 0.000 1.451 2.902
C 0.000 4.353 2.902
As 4.353 0.000 2.902
```

Results
Density, g/cm3: 4.4
ΔE_f, meV/atom: 1413
D(E_F), states/eV per cell: 4.1
ΔE to the lowest computed polymorph, meV/atom: 872.7



no.,DFT total energy (eV/atom)
1,-4.720
2,-5.663
3,-6.238
4,-5.582
5,-4.627
6,-5.524